Computed, not measured: a relaxed Ta2Tc2Bi crystal at the PBE-GGA level of DFT.

The structure belongs to space group P4/mbm (No. 127); the cell edges are 7.8947, 7.8947 and 3.0838 Å and the angles 90.00°, 90.00° and 90.00°. The distinct sites, in fractional coordinates, are Ta at (0.1381, 0.3619, 0.0000), Tc at (0.1421, 0.6421, 0.5000) and Bi at (0.0000, 0.0000, 0.0000).

As for the total energy: -93.13 eV per cell. The energy relative to the elements comes out at 8.09 kcal/mol of atoms. As for the total magnetization: 0.00 μB per formula unit.